Entry 1:
Y2Mg2Cu after structural relaxation, computed with PBE.

a b c (Å): 19.141 3.566 7.165
angles (deg): 90.00 100.02 90.00
Space group Cm (No. 8)
Asymmetric unit:
Y  0.000  0.000  0.000
Y  0.009  0.000  0.512
Y  0.187  0.000  0.560
Y  0.316  0.500  0.882
Mg  0.118  0.500  0.843
Mg  0.206  0.000  0.125
Mg  0.321  0.500  0.440
Mg  0.399  0.000  0.223
Cu  0.091  0.500  0.279
Cu  0.410  0.000  0.696

M_tot in μB per atom: 0.000
E in eV per formula unit: -20.6
Formation energy from the elements in meV/atom: -73
Density of states at the Fermi level in states/eV/cell: 13.2

Entry 2:
Y2Mg2Cu after structural relaxation, computed with PBE.

a b c (Å): 6.419 13.670 5.525
angles (deg): 90.00 90.00 90.00
Space group Ibam (No. 72)
Asymmetric unit:
Y  0.172  0.175  0.000
Mg  0.163  0.422  0.000
Cu  0.000  0.000  0.250

M_tot in μB per atom: 0.000
E in eV per formula unit: -20.8
Formation energy from the elements in meV/atom: -112
Density of states at the Fermi level in states/eV/cell: 14.9

Entry 3:
YMg4Cu2 after structural relaxation, computed with PBE.

a b c (Å): 4.237 16.261 4.177
angles (deg): 90.00 90.00 90.00
Space group Cmmm (No. 65)
Asymmetric unit:
Y  0.000  0.000  0.000
Mg  0.000  0.175  0.500
Mg  0.000  0.324  0.000
Cu  0.000  0.427  0.500

M_tot in μB per atom: 0.000
E in eV per formula unit: -21.8
Formation energy from the elements in meV/atom: -104
Density of states at the Fermi level in states/eV/cell: 8.5

Entry 4:
Y4Mg2Cu after structural relaxation, computed with PBE.

a b c (Å): 5.3414 5.3414 22.5992
angles (deg): 90.00 90.00 120.00
Space group R-3m (No. 166, hexagonal axes)
Asymmetric unit:
Y  0.0000  0.0000  0.0772
Y  0.0000  0.0000  0.3601
Mg  0.0000  0.0000  0.2163
Cu  0.0000  0.0000  0.5000

M_tot in μB per atom: 0.000
E in eV per formula unit: -32.1
Formation energy from the elements in meV/atom: 150
Density of states at the Fermi level in states/eV/cell: 32.5

Entry 5:
Y2Mg4Cu3 after structural relaxation, computed with PBE.

a b c (Å): 15.756 3.135 7.560
angles (deg): 90.00 98.27 90.00
Space group C2/m (No. 12)
Asymmetric unit:
Y  0.148  0.000  0.447
Mg  0.035  0.000  0.820
Mg  0.220  0.500  0.831
Cu  0.000  0.500  0.500
Cu  0.121  0.500  0.107

M_tot in μB per atom: 0.000
E in eV per formula unit: -31.8
Formation energy from the elements in meV/atom: -23
Density of states at the Fermi level in states/eV/cell: 10.3

Entry 6:
Y4Mg2Cu after structural relaxation, computed with PBE.

a b c (Å): 10.289 10.289 4.606
angles (deg): 90.00 90.00 90.00
Space group I4/mmm (No. 139)
Asymmetric unit:
Y  0.000  0.223  0.000
Mg  0.000  0.500  0.250
Cu  0.000  0.000  0.500

M_tot in μB per atom: 0.060
E in eV per formula unit: -26.8
Formation energy from the elements in meV/atom: 904
Density of states at the Fermi level in states/eV/cell: 20.1

Entry 7:
Y3MgCu after structural relaxation, computed with PBE.

a b c (Å): 4.470 4.470 17.280
angles (deg): 90.00 90.00 90.00
Space group I4mm (No. 107)
Asymmetric unit:
Y  0.000  0.000  0.000
Y  0.000  0.500  0.154
Mg  0.000  0.000  0.802
Cu  0.000  0.000  0.546

M_tot in μB per atom: 0.000
E in eV per formula unit: -23.1
Formation energy from the elements in meV/atom: 399
Density of states at the Fermi level in states/eV/cell: 13.6

Entry 8:
Y2MgCu after structural relaxation, computed with PBE.

a b c (Å): 3.6807 3.6807 27.4043
angles (deg): 90.00 90.00 120.00
Space group R-3m (No. 166, hexagonal axes)
Asymmetric unit:
Y  0.0000  0.0000  0.2366
Mg  0.0000  0.0000  0.0000
Cu  0.0000  0.0000  0.5000

M_tot in μB per atom: 0.000
E in eV per formula unit: -18.5
Formation energy from the elements in meV/atom: 34
Density of states at the Fermi level in states/eV/cell: 18.4